The following is a DFT calculation (PBE) of VCr3Te after structural relaxation.

a = 4.5829 Å, b = 4.5829 Å, c = 4.5829 Å
α = 90.00°, β = 90.00°, γ = 90.00°
Last column: nearest neighbours and their distance in Å.
Fractional positions:
V 0.0000 0.0000 0.0000  6 Cr 2.29
Cr 0.0000 0.0000 0.5000  2 V 2.29
Cr 0.0000 0.5000 0.0000  2 V 2.29
Cr 0.5000 0.0000 0.0000  2 V 2.29
Te 0.5000 0.5000 0.5000  12 Cr 3.24

The calculation puts the excess energy over the best structure of this formula in the dataset at 0.0 meV per atom. The raw formation energy comes out at 107 kJ/mol of atoms. As for the space group: No. 221.



The following is a DFT calculation (PBE) of VCr3Te8 after structural relaxation.

a = 7.5233 Å, b = 7.5233 Å, c = 7.9802 Å
α = 118.62°, β = 118.62°, γ = 60.10°
Last column: nearest neighbours and their distance in Å.
Fractional positions:
V 0.0000 0.0000 0.0000  6 Te 2.71-2.72
Cr 0.0000 0.5000 0.0000  6 Te 2.70-2.71
Cr 0.5000 0.0000 0.0000  6 Te 2.70-2.71
Cr 0.5000 0.5000 0.0000  6 Te 2.70-2.71
Te 0.2499 0.2499 0.2432  2 Cr 2.71, 1 V 2.71
Te 0.2500 0.7482 0.2434  2 Cr 2.71, 1 V 2.72
Te 0.2513 0.2513 0.7587  3 Cr 2.70
Te 0.2518 0.7500 0.7566  2 Cr 2.71, 1 V 2.72
Te 0.7482 0.2500 0.2434  2 Cr 2.71, 1 V 2.72
Te 0.7487 0.7487 0.2413  3 Cr 2.70
Te 0.7500 0.2518 0.7566  2 Cr 2.71, 1 V 2.72
Te 0.7501 0.7501 0.7568  2 Cr 2.71, 1 V 2.71

The raw formation energy comes out at -19 kJ/mol of atoms. As for the space group: No. 12.



The following is a DFT calculation (PBE) of VCrTe3 after structural relaxation.

a = 5.2517 Å, b = 5.2517 Å, c = 5.2517 Å
α = 90.00°, β = 90.00°, γ = 90.00°
Last column: nearest neighbours and their distance in Å.
Fractional positions:
V 0.0000 0.0000 0.0000  6 Te 2.63
Cr 0.5000 0.5000 0.5000  12 Te 3.71
Te 0.0000 0.0000 0.5000  2 V 2.63
Te 0.0000 0.5000 0.0000  2 V 2.63
Te 0.5000 0.0000 0.0000  2 V 2.63

The calculation puts the excess energy over the best structure of this formula in the dataset at 545.2 meV per atom. The raw formation energy comes out at 48 kJ/mol of atoms. As for the space group: No. 221.



The following is a DFT calculation (PBE) of VCrTe3 after structural relaxation.

a = 5.2048 Å, b = 5.2048 Å, c = 5.2048 Å
α = 90.00°, β = 90.00°, γ = 90.00°
Last column: nearest neighbours and their distance in Å.
Fractional positions:
V 0.0000 0.0000 0.0000  12 Te 3.68
Cr 0.5000 0.5000 0.5000  6 Te 2.60
Te 0.0000 0.5000 0.5000  2 Cr 2.60
Te 0.5000 0.0000 0.5000  2 Cr 2.60
Te 0.5000 0.5000 0.0000  2 Cr 2.60

The calculation puts the excess energy over the best structure of this formula in the dataset at 660.4 meV per atom. The raw formation energy comes out at 59 kJ/mol of atoms. As for the space group: No. 221.



The following is a DFT calculation (PBE) of VCrTe2 after structural relaxation.

a = 7.6565 Å, b = 7.6565 Å, c = 7.6565 Å
α = 131.79°, β = 131.79°, γ = 70.57°
Last column: nearest neighbours and their distance in Å.
Fractional positions:
V 0.0000 0.0000 0.0000  4 Te 2.69
V 0.7500 0.2500 0.5000  4 Te 2.69
Cr 0.2500 0.7500 0.5000  4 Te 2.73
Cr 0.5000 0.5000 0.0000  4 Te 2.73
Te 0.1198 0.6250 0.9948  2 V 2.69, 2 Cr 2.73
Te 0.3750 0.3698 0.4948  2 V 2.69, 2 Cr 2.73
Te 0.6302 0.1250 0.0052  2 V 2.69, 2 Cr 2.73
Te 0.8750 0.8802 0.5052  2 V 2.69, 2 Cr 2.73

The calculation puts the excess energy over the best structure of this formula in the dataset at 0.0 meV per atom. The raw formation energy comes out at 9 kJ/mol of atoms. As for the space group: No. 122.



The following is a DFT calculation (PBE) of VCrTe4 after structural relaxation.

a = 8.1054 Å, b = 8.1054 Å, c = 6.1731 Å
α = 111.37°, β = 111.37°, γ = 26.28°
Last column: nearest neighbours and their distance in Å.
Fractional positions:
V 0.0000 0.0000 0.0000  6 Te 2.72
Cr 0.5000 0.5000 0.5000  6 Te 2.69-2.70
Te 0.1170 0.1170 0.4534  2 Cr 2.70, 1 V 2.72
Te 0.3820 0.3820 0.0524  1 Cr 2.69, 2 V 2.72
Te 0.6180 0.6180 0.9476  1 Cr 2.69, 2 V 2.72
Te 0.8830 0.8830 0.5466  2 Cr 2.70, 1 V 2.72

The raw formation energy comes out at -23 kJ/mol of atoms. As for the space group: No. 12.



The following is a DFT calculation (PBE) of VCr2Te6 after structural relaxation.

a = 7.4374 Å, b = 7.4374 Å, c = 9.1598 Å
α = 107.20°, β = 107.20°, γ = 29.50°
Last column: nearest neighbours and their distance in Å.
Fractional positions:
V 0.0000 0.0000 0.0000  6 Te 2.71-2.73
Cr 0.3408 0.3408 0.6790  6 Te 2.68-2.72
Cr 0.6592 0.6592 0.3210  6 Te 2.68-2.72
Te 0.0231 0.0231 0.3050  2 Cr 2.70, 1 V 2.71
Te 0.2993 0.2993 0.3685  3 Cr 2.70-2.72
Te 0.3599 0.3599 0.9788  1 Cr 2.68, 2 V 2.73
Te 0.6401 0.6401 0.0212  1 Cr 2.68, 2 V 2.73
Te 0.7007 0.7007 0.6315  3 Cr 2.70-2.72
Te 0.9769 0.9769 0.6950  2 Cr 2.70, 1 V 2.71

The raw formation energy comes out at -22 kJ/mol of atoms. As for the space group: No. 12.



The following is a DFT calculation (PBE) of V2CrTe5 after structural relaxation.

a = 9.7202 Å, b = 7.4248 Å, c = 7.1425 Å
α = 83.69°, β = 49.40°, γ = 46.92°
Last column: nearest neighbours and their distance in Å.
Fractional positions:
V 0.1945 0.1945 0.8055  7 Te 2.69-3.00, 2 V 2.87
V 0.8055 0.8055 0.1945  7 Te 2.69-3.00, 2 V 2.87
Cr 0.5000 0.5000 0.5000  2 Te 2.41
Te 0.0000 0.0000 0.0000  2 Cr 2.41
Te 0.2156 0.4700 0.5300  3 V 2.69-3.00, 1 Cr 2.79
Te 0.4700 0.2156 0.7844  3 V 2.69-3.00, 1 Cr 2.79
Te 0.5300 0.7844 0.2156  3 V 2.69-3.00, 1 Cr 2.79
Te 0.7844 0.5300 0.4700  3 V 2.69-3.00, 1 Cr 2.79

The raw formation energy comes out at -3 kJ/mol of atoms. As for the space group: No. 69.



Number 1: total magnetic moment 8.59 μB/f.u.. Number 2: total magnetic moment 8.33 μB/f.u.. Number 3: total magnetic moment 5.67 μB/f.u.. Number 4: total magnetic moment 5.88 μB/f.u.. Number 5: total magnetic moment 7.00 μB/f.u.. Number 6: total magnetic moment 1.25 μB/f.u.. Number 7: total magnetic moment 6.00 μB/f.u.. Number 8: total magnetic moment 3.01 μB/f.u..